VASP calculation (PBE) on an optimized crystal structure of TaFeGeMo.

Lattice parameters (Å, degrees): 4.361 4.361 4.361 60.00 60.00 60.00
Fractional coordinates of all 4 atoms:
Fe  0.750  0.750  0.750
Ge  0.000  0.000  0.000
Mo  0.250  0.250  0.250
Ta  0.500  0.500  0.500

Properties
- Offset from the most stable computed form: 0.0 meV per atom